Version A
First-principles (PBE-GGA) data for AlPdSe2N after structural relaxation, as listed in Alexandria.

a = 5.1627 Å, b = 5.1627 Å, c = 3.7023 Å
α = 90.00°, β = 90.00°, γ = 90.00°
Space group P4/mmm (No. 123)
One atom of each set of equivalent atoms:
Al 0.0000 0.0000 0.0000 [1 per cell]
Pd 0.5000 0.5000 0.5000 [1 per cell]
Se 0.0000 0.5000 0.5000 [2 per cell]
N 0.5000 0.5000 0.0000 [1 per cell]

---

Version B
First-principles (PBE-GGA) data for AlPdSe2N after structural relaxation, as listed in Alexandria.

a = 5.0638 Å, b = 5.0638 Å, c = 3.4685 Å
α = 90.00°, β = 90.00°, γ = 90.00°
Space group P4/mmm (No. 123)
One atom of each set of equivalent atoms:
Al 0.0000 0.0000 0.0000 [1 per cell]
Pd 0.5000 0.5000 0.5000 [1 per cell]
Se 0.0000 0.5000 0.0000 [2 per cell]
N 0.0000 0.0000 0.5000 [1 per cell]

---

Last place for stability: version A

---

Version A
First-principles (PBE-GGA) data for AlPtS2N after structural relaxation, as listed in Alexandria.

a = 4.7165 Å, b = 4.7165 Å, c = 3.5025 Å
α = 90.00°, β = 90.00°, γ = 90.00°
Space group P4/mmm (No. 123)
One atom of each set of equivalent atoms:
Al 0.0000 0.0000 0.0000 [1 per cell]
Pt 0.5000 0.5000 0.5000 [1 per cell]
S 0.0000 0.5000 0.0000 [2 per cell]
N 0.0000 0.0000 0.5000 [1 per cell]

---

Version B
First-principles (PBE-GGA) data for AlPtS2N after structural relaxation, as listed in Alexandria.

a = 4.9448 Å, b = 4.9448 Å, c = 3.6730 Å
α = 90.00°, β = 90.00°, γ = 90.00°
Space group P4/mmm (No. 123)
One atom of each set of equivalent atoms:
Al 0.0000 0.0000 0.0000 [1 per cell]
Pt 0.5000 0.5000 0.5000 [1 per cell]
S 0.0000 0.5000 0.5000 [2 per cell]
N 0.5000 0.5000 0.0000 [1 per cell]

---

Last place for stability: version A

---

Version A
First-principles (PBE-GGA) data for AlPtSN2 after structural relaxation, as listed in Alexandria.

a = 3.6978 Å, b = 3.6978 Å, c = 8.4223 Å
α = 90.00°, β = 90.00°, γ = 90.00°
Space group P4/mmm (No. 123)
One atom of each set of equivalent atoms:
Al 0.0000 0.0000 0.0000 [1 per cell]
Pt 0.5000 0.5000 0.5000 [1 per cell]
S 0.5000 0.5000 0.0000 [1 per cell]
N 0.0000 0.5000 0.5000 [2 per cell]

---

Version B
First-principles (PBE-GGA) data for AlPtSN2 after structural relaxation, as listed in Alexandria.

a = 3.6466 Å, b = 3.6466 Å, c = 5.2518 Å
α = 90.00°, β = 90.00°, γ = 90.00°
Space group P4/mmm (No. 123)
One atom of each set of equivalent atoms:
Al 0.0000 0.0000 0.0000 [1 per cell]
Pt 0.5000 0.5000 0.5000 [1 per cell]
S 0.0000 0.0000 0.5000 [1 per cell]
N 0.0000 0.5000 0.0000 [2 per cell]

---

Last place for stability: version A

---

Version A
First-principles (PBE-GGA) data for AlTePtN2 after structural relaxation, as listed in Alexandria.

a = 3.7153 Å, b = 3.7153 Å, c = 6.9387 Å
α = 90.00°, β = 90.00°, γ = 90.00°
Space group P4/mmm (No. 123)
One atom of each set of equivalent atoms:
Al 0.0000 0.0000 0.0000 [1 per cell]
Te 0.0000 0.0000 0.5000 [1 per cell]
Pt 0.5000 0.5000 0.5000 [1 per cell]
N 0.0000 0.5000 0.0000 [2 per cell]

---

Version B
First-principles (PBE-GGA) data for AlTePtN2 after structural relaxation, as listed in Alexandria.

a = 3.8129 Å, b = 3.8129 Å, c = 8.4875 Å
α = 90.00°, β = 90.00°, γ = 90.00°
Space group P4/mmm (No. 123)
One atom of each set of equivalent atoms:
Al 0.0000 0.0000 0.0000 [1 per cell]
Te 0.5000 0.5000 0.0000 [1 per cell]
Pt 0.5000 0.5000 0.5000 [1 per cell]
N 0.0000 0.5000 0.5000 [2 per cell]

---

Last place for stability: version B

---

Version A
First-principles (PBE-GGA) data for AlTe2PtN after structural relaxation, as listed in Alexandria.

a = 5.4830 Å, b = 5.4830 Å, c = 3.3936 Å
α = 90.00°, β = 90.00°, γ = 90.00°
Space group P4/mmm (No. 123)
One atom of each set of equivalent atoms:
Al 0.0000 0.0000 0.0000 [1 per cell]
Te 0.0000 0.5000 0.0000 [2 per cell]
Pt 0.5000 0.5000 0.5000 [1 per cell]
N 0.0000 0.0000 0.5000 [1 per cell]

---

Version B
First-principles (PBE-GGA) data for AlTe2PtN after structural relaxation, as listed in Alexandria.

a = 5.6336 Å, b = 5.6336 Å, c = 3.6821 Å
α = 90.00°, β = 90.00°, γ = 90.00°
Space group P4/mmm (No. 123)
One atom of each set of equivalent atoms:
Al 0.0000 0.0000 0.0000 [1 per cell]
Te 0.0000 0.5000 0.5000 [2 per cell]
Pt 0.5000 0.5000 0.5000 [1 per cell]
N 0.5000 0.5000 0.0000 [1 per cell]

---

Last place for stability: version B

---

Version A
First-principles (PBE-GGA) data for RbAlS2N after structural relaxation, as listed in Alexandria.

a = 5.9733 Å, b = 5.9733 Å, c = 5.3446 Å
α = 90.00°, β = 90.00°, γ = 90.00°
Space group P4/mmm (No. 123)
One atom of each set of equivalent atoms:
Rb 0.0000 0.0000 0.0000 [1 per cell]
Al 0.5000 0.5000 0.5000 [1 per cell]
S 0.0000 0.5000 0.0000 [2 per cell]
N 0.0000 0.0000 0.5000 [1 per cell]

---

Version B
First-principles (PBE-GGA) data for RbAlS2N after structural relaxation, as listed in Alexandria.

a = 5.0735 Å, b = 5.0735 Å, c = 3.8858 Å
α = 90.00°, β = 90.00°, γ = 90.00°
Space group P4/mmm (No. 123)
One atom of each set of equivalent atoms:
Rb 0.0000 0.0000 0.0000 [1 per cell]
Al 0.5000 0.5000 0.5000 [1 per cell]
S 0.0000 0.5000 0.5000 [2 per cell]
N 0.5000 0.5000 0.0000 [1 per cell]

---

Last place for stability: version A